VASP calculation (PBE) on a geometry-optimized Dy3P2Pt2Rh5 structure.

abc: 13.437 13.437 13.437
angles: 162.96 162.96 24.19
Element x y z (fractional)
Dy  0.000  0.000  0.000
Dy  0.171  0.171  0.000
Dy  0.829  0.829  0.000
P  0.373  0.373  0.000
P  0.627  0.627  0.000
Pt  0.283  0.283  0.000
Pt  0.717  0.717  0.000
Rh  0.083  0.583  0.500
Rh  0.417  0.917  0.500
Rh  0.500  0.500  0.000
Rh  0.583  0.083  0.500
Rh  0.917  0.417  0.500

Calculated values
Final energy, eV per atom: -7.132
DFT formation energy, eV/atom: -1.01
Volume, Å³/f.u.: 208.3
Total moment, μB/cell: 0.0